1.
Here is a relaxed PrSm2Dy5Th crystal from the Alexandria database. Energies are from PBE-GGA.

## Properties
- Total moment: 0.000 μB per atom
- Crystal system: orthorhombic
- E_form: 165 meV per atom
- N(E_F): 14.5 states/eV/f.u.

Cell: 5.662 10.467 10.485 Å, 90.00 90.00 105.69°
Atoms (fractional coordinates):
Dy (0.724, 0.449, 0.818)
Dy (0.387, 0.775, 0.024)
Dy (0.017, 0.033, 0.024)
Dy (0.983, 0.967, 0.524)
Dy (0.298, 0.595, 0.710)
Dy (0.702, 0.405, 0.210)
Dy (0.522, 0.043, 0.237)
Dy (0.613, 0.225, 0.524)
Dy (0.478, 0.957, 0.737)
Dy (0.276, 0.551, 0.318)
Sm (0.884, 0.768, 0.229)
Sm (0.886, 0.773, 0.820)
Sm (0.116, 0.232, 0.729)
Sm (0.114, 0.227, 0.320)
Th (0.201, 0.402, 0.015)
Th (0.799, 0.598, 0.515)
Pr (0.413, 0.825, 0.448)
Pr (0.587, 0.175, 0.948)

***

2.
Here is a relaxed La6As2CI3 crystal from the Alexandria database. Energies are from PBE-GGA.

## Properties
- Total moment: 0.000 μB per atom
- Crystal system: monoclinic
- Raw formation energy: -1.1754 eV/atom
- N(E_F): 5.2 states/eV/f.u.

Cell: 7.410 7.410 8.217 Å, 98.64 98.64 119.94°
Atoms (fractional coordinates):
C (0.000, 0.000, 0.000)
As (0.666, 0.334, 0.000)
As (0.334, 0.666, 0.000)
La (0.062, 0.366, 0.187)
La (0.366, 0.062, 0.187)
La (0.760, 0.760, 0.190)
La (0.634, 0.938, 0.813)
La (0.240, 0.240, 0.810)
La (0.938, 0.634, 0.813)
I (0.500, 0.500, 0.500)
I (0.173, 0.827, 0.500)
I (0.827, 0.173, 0.500)

***

3.
Here is a relaxed MnRe2Rh crystal from the Alexandria database. Energies are from PBE-GGA.

## Properties
- Total moment: 0.482 μB per atom
- Crystal system: monoclinic
- E above lowest polymorph: 0.056 eV/atom
- E_form: 31 meV per atom
- N(E_F): 4.7 states/eV/f.u.

Cell: 4.703 4.703 4.688 Å, 80.75 80.75 33.50°
Atoms (fractional coordinates):
Re (0.999, 0.999, 0.997)
Re (0.501, 0.501, 0.503)
Rh (0.250, 0.250, 0.250)
Mn (0.750, 0.750, 0.750)

***

4.
Here is a relaxed YBe2H crystal from the Alexandria database. Energies are from PBE-GGA.

## Properties
- Total moment: 0.000 μB per atom
- Crystal system: cubic
- E above lowest polymorph: 0.695 eV/atom
- N(E_F): 1.0 states/eV/f.u.

Cell: 4.309 4.309 4.309 Å, 60.00 60.00 60.00°
Atoms (fractional coordinates):
Be (0.750, 0.750, 0.750)
Be (0.250, 0.250, 0.250)
Y (0.500, 0.500, 0.500)
H (0.000, 0.000, 0.000)

***

5.
Here is a relaxed PbBrCl2 crystal from the Alexandria database. Energies are from PBE-GGA.

## Properties
- Total moment: 0.000 μB per atom
- Crystal system: monoclinic
- E above lowest polymorph: 0.205 eV/atom
- Raw formation energy: -0.4764 eV/atom
- N(E_F): 1.8 states/eV/f.u.

Cell: 5.400 5.383 5.337 Å, 67.69 76.62 112.76°
Atoms (fractional coordinates):
Cl (0.000, 0.000, 0.000)
Cl (0.500, 0.000, 0.500)
Pb (0.000, 0.500, 0.500)
Br (0.500, 0.500, 0.000)

***

6.
Here is a relaxed RbVP crystal from the Alexandria database. Energies are from PBE-GGA.

## Properties
- Total moment: 0.000 μB per atom
- Crystal system: tetragonal
- E_form: -425 meV per atom
- N(E_F): 2.9 states/eV/f.u.

Cell: 3.913 3.913 11.527 Å, 90.00 90.00 90.00°
Atoms (fractional coordinates):
P (0.000, 0.500, 0.380)
P (0.500, 0.000, 0.620)
Rb (0.000, 0.500, 0.795)
Rb (0.500, 0.000, 0.205)
V (0.000, 0.000, 0.500)
V (0.500, 0.500, 0.500)

***

7.
Here is a relaxed Tb5PmSm crystal from the Alexandria database. Energies are from PBE-GGA.

## Properties
- Total moment: 0.000 μB per atom
- Crystal system: orthorhombic
- E above lowest polymorph: 0.882 eV/atom
- E_form: 1066 meV per atom
- N(E_F): 10.7 states/eV/f.u.

Cell: 5.785 7.892 7.892 Å, 66.61 68.50 68.50°
Atoms (fractional coordinates):
Tb (0.747, 0.253, 0.253)
Tb (0.000, 0.500, 0.500)
Tb (0.253, 0.747, 0.747)
Tb (0.500, 0.179, 0.821)
Tb (0.500, 0.821, 0.179)
Sm (0.500, 0.500, 0.500)
Pm (0.000, 0.000, 0.000)

***

8.
Here is a relaxed Y2ZrCl crystal from the Alexandria database. Energies are from PBE-GGA.

## Properties
- Total moment: 0.000 μB per atom
- Crystal system: tetragonal
- E above lowest polymorph: 0.747 eV/atom
- Raw formation energy: 0.1298 eV/atom
- N(E_F): 6.9 states/eV/f.u.

Cell: 5.823 5.823 5.823 Å, 132.16 132.16 69.97°
Atoms (fractional coordinates):
Zr (0.250, 0.750, 0.500)
Y (0.500, 0.500, 0.000)
Y (0.000, 0.000, 0.000)
Cl (0.750, 0.250, 0.500)